[1]
Density functional theory data (GGA-PBE) for an optimized crystal structure of Fe2PBr.

Cell lengths 4.281, 4.281, 2.981 Å; angles 90.00, 90.00, 90.00 degrees
Space group P4/mmm (No. 123)
One atom of each set of equivalent atoms:
Fe 0.000 0.500 0.000
P 0.000 0.000 0.500
Br 0.500 0.500 0.500

Computed properties:
* final energy: -5.461 eV/atom
* total moment: 4.04 Bohr magnetons per cell
* E above lowest polymorph: 679 meV per atom
* calculated density: 6766 kg/m3
* ΔE_f (raw): 0.54 eV per atom



[2]
Density functional theory data (GGA-PBE) for an optimized crystal structure of FePBr.

Cell lengths 2.704, 3.394, 12.190 Å; angles 90.00, 90.00, 90.00 degrees
Space group Imm2 (No. 44)
One atom of each set of equivalent atoms:
Fe 0.000 0.000 0.000
P 0.000 0.000 0.450
Br 0.000 0.000 0.193

Computed properties:
* final energy: -5.113 eV/atom
* total moment: 0.00 Bohr magnetons per cell
* E above lowest polymorph: 130 meV per atom
* calculated density: 4949 kg/m3
* ΔE_f (raw): 0.07 eV per atom